Record 1
DFT (GGA-PBE) results for a relaxed Ce3OsAu crystal.

The formation energy is -0.303 eV per atom. The electronic total energy is -6.764 eV per atom. As for the volume: 25.3 Å³ per atom. The polymorph energy (0 for the lowest one) comes out at 55 meV/atom. The size of the total moment is 1.4 μB per formula unit.

Cell: 5.389 6.212 8.783 Å, 98.07 106.62 111.17°
Space group P-1 (No. 2)
Inequivalent atoms, fractional coordinates:
1 Ce 0.030 0.155 0.356 [2 per cell]
2 Ce 0.232 0.822 0.078 [2 per cell]
3 Ce 0.334 0.473 0.713 [2 per cell]
4 Os 0.306 0.238 0.950 [2 per cell]
5 Au 0.331 0.748 0.438 [2 per cell]

Record 2
DFT (GGA-PBE) results for a relaxed Ho2ThNi9 crystal.

The formation energy is -0.453 eV per atom. The electronic total energy is -6.170 eV per atom. As for the volume: 14.6 Å³ per atom. The size of the total moment is 0.0 μB per formula unit.

Cell: 4.9785 4.9785 24.4591 Å, 90.00 90.00 120.00°
Space group R-3m (No. 166, hexagonal axes)
Inequivalent atoms, fractional coordinates:
1 Ho 0.0000 0.0000 0.1403 [6 per cell]
2 Th 0.0000 0.0000 0.0000 [3 per cell]
3 Ni 0.0000 0.0000 0.3331 [6 per cell]
4 Ni 0.0000 0.0000 0.5000 [3 per cell]
5 Ni 0.0011 0.5006 0.9166 [18 per cell]

Record 3
DFT (GGA-PBE) results for a relaxed RbAg2Mo crystal.

The formation energy is 1.147 eV per atom. The electronic total energy is -3.228 eV per atom. As for the volume: 25.8 Å³ per atom. The polymorph energy (0 for the lowest one) comes out at 0 meV/atom. The size of the total moment is 4.4 μB per formula unit.

Cell: 7.442 7.442 7.442 Å, 90.00 90.00 90.00°
Space group Fm-3m (No. 225)
Inequivalent atoms, fractional coordinates:
1 Rb 0.000 0.000 0.000 [4 per cell]
2 Ag 0.250 0.250 0.250 [8 per cell]
3 Mo 0.000 0.000 0.500 [4 per cell]

Record 4
DFT (GGA-PBE) results for a relaxed TbPuHf crystal.

The formation energy is 0.232 eV per atom. The electronic total energy is -9.407 eV per atom. As for the volume: 25.8 Å³ per atom. The polymorph energy (0 for the lowest one) comes out at 72 meV/atom. The size of the total moment is 5.4 μB per formula unit.

Cell: 5.3008 5.3008 3.1841 Å, 90.00 90.00 120.00°
Space group P-6m2 (No. 187)
Inequivalent atoms, fractional coordinates:
1 Tb 0.0000 0.0000 0.0000 [1 per cell]
2 Pu 0.6667 0.3333 0.5000 [1 per cell]
3 Hf 0.3333 0.6667 0.5000 [1 per cell]

Record 5
DFT (GGA-PBE) results for a relaxed PuCdCu2O8 crystal.

Its formation energy (no corrections) is -0.90 eV per atom. The electronic total energy is -6.159 eV per atom. As for the volume: 12.8 Å³ per atom. The size of the total moment is 0.0 μB per formula unit.

Cell: 6.684 6.684 6.901 Å, 90.00 90.00 90.00°
Space group I-4m2 (No. 119)
Inequivalent atoms, fractional coordinates:
1 Pu 0.000 0.000 0.000 [2 per cell]
2 Cd 0.000 0.500 0.250 [2 per cell]
3 Cu 0.000 0.000 0.500 [2 per cell]
4 Cu 0.000 0.500 0.750 [2 per cell]
5 O 0.000 0.171 0.296 [8 per cell]
6 O 0.000 0.291 0.946 [8 per cell]

> What is the volume in the second record?

14.6 Å³ per atom

> Which value of size of the total moment does entry 3 give?

4.4 μB per formula unit